This record from Alexandria via LeMat-Bulk describes a geometry-optimized ErTmCd structure. The functional is PBE-GGA.

```
data_ErTmCd
_cell_length_a 5.1780
_cell_length_b 5.1780
_cell_length_c 22.0346
_cell_angle_alpha 90.00
_cell_angle_beta 90.00
_cell_angle_gamma 120.00
_space_group_name_H-M_alt 'R -3 m'
_space_group_IT_number 166
_space_group_name_Hall '-R 3 2"'
loop_
_atom_site_label
_atom_site_type_symbol
_atom_site_fract_x
_atom_site_fract_y
_atom_site_fract_z
Er1 Er 0.0000 0.0000 0.2091
Tm1 Tm 0.0000 0.0000 0.3721
Cd1 Cd 0.0000 0.0000 0.0662
```

Summary:
- Crystal system: trigonal
- Calculated volume: 511.6 Å³ per cell
- Total moment: 0.00 Bohr magnetons per cell
- E_form: -0.061 eV/atom
- DOS at the Fermi energy: 16.66 states/eV per cell
- Polymorph energy (0 for the lowest one): 128 meV per atom
- Theoretical density: 8736 kg/m³